The following is a GGA-PBE calculation of crystalline Sr2MgSnAu6 at its relaxed geometry, from Alexandria.

The structure in POSCAR format:
```
Sr2MgSnAu6
1.0
6.686 -2.817 0.000
6.686 2.817 0.000
-6.638 0.000 6.735
Sr Mg Sn Au
2 1 1 6
Direct
0.246 0.246 0.285
0.754 0.754 0.715
0.000 0.000 0.500
0.500 0.500 0.000
0.243 0.744 0.736
0.244 0.244 0.895
0.256 0.757 0.264
0.744 0.243 0.736
0.756 0.756 0.105
0.757 0.256 0.264
```

Crystal system: monoclinic
Total moment: 0.00 Bohr magnetons per cell
DOS at the Fermi energy: 3.29 states/eV per cell
E: -33.60 eV per cell

---

The following is a GGA-PBE calculation of crystalline Sr2MgSn3Au4 at its relaxed geometry, from Alexandria.

The structure in POSCAR format:
```
Sr2MgSn3Au4
1.0
4.696 0.000 0.000
0.000 4.696 0.000
0.000 0.000 11.473
Sr Mg Sn Au
2 1 3 4
Direct
0.000 0.500 0.238
0.500 0.000 0.762
0.000 0.000 0.500
0.000 0.500 0.867
0.500 0.000 0.133
0.500 0.500 0.500
0.000 0.000 0.000
0.000 0.500 0.631
0.500 0.000 0.369
0.500 0.500 0.000
```

Crystal system: tetragonal
Total moment: 0.00 Bohr magnetons per cell
DOS at the Fermi energy: 5.00 states/eV per cell
E: -36.03 eV per cell